# AcHoIr (PBE-GGA, relaxed)
data_AcHoIr
_chemical_formula_sum 'Ac1 Ho1 Ir1'
_cell_length_a 4.2678
_cell_length_b 4.2678
_cell_length_c 6.4417
_cell_angle_alpha 90.00
_cell_angle_beta 90.00
_cell_angle_gamma 120.00
_space_group_name_H-M_alt 'P 3 m 1'
_space_group_IT_number 156
_space_group_name_Hall 'P 3 -2"'
loop_
_atom_site_label
_atom_site_fract_x
_atom_site_fract_y
_atom_site_fract_z
Ac1 0.0000 0.0000 0.0000
Ho1 0.6667 0.3333 0.5457
Ir1 0.3333 0.6667 0.7458
# Calculated density = 9.5 g cm⁻³
# Total DFT energy (no corrections) = -6.40 eV per atom
# Energy above the lowest structure with this stoichiometry = 0.067 eV per atom
# Energy of formation from the pure elements = -53.0 kJ/mol of atoms
# Total magnetization = 0.0 μB/f.u.